No. 1
DFT (GGA-PBE) results for Pd3PbAu after structural relaxation.

It has space group Pnma (No. 62), with a = 7.427 Å, b = 7.353 Å, c = 6.884 Å, α = 90.00°, β = 90.00° and γ = 90.00°. The asymmetric unit holds Pd at (0.121, 0.250, 0.216), Pd at (0.147, 0.042, 0.863), Pb at (0.165, 0.750, 0.106) and Au at (0.000, 0.000, 0.500).

Its formation energy from the elements is -0.048 eV/atom. The size of the total moment is 0.000 μB per atom. For the energy above the most stable polymorph in this dataset, the calculation gives 3.9 kJ per mole of atoms.

---

No. 2
DFT (GGA-PBE) results for InRe2Ni after structural relaxation.

It has space group Pmmm (No. 47), with a = 3.199 Å, b = 4.212 Å, c = 4.571 Å, α = 90.00°, β = 90.00° and γ = 90.00°. The asymmetric unit holds In at (0.000, 0.000, 0.000), Re at (0.000, 0.500, 0.500), Re at (0.500, 0.000, 0.500) and Ni at (0.500, 0.500, 0.000).

Its formation energy from the elements is 0.400 eV/atom. The size of the total moment is 0.000 μB per atom.

---

No. 3
DFT (GGA-PBE) results for CsPuFeBr6 after structural relaxation.

It has space group C2 (No. 5), with a = 7.256 Å, b = 12.600 Å, c = 8.071 Å, α = 90.00°, β = 90.02° and γ = 90.00°. The asymmetric unit holds Cs at (0.000, 0.000, 0.000), Pu at (0.000, 0.334, 0.500), Fe at (0.000, 0.667, 0.500), Br at (0.125, 0.513, 0.695), Br at (0.167, 0.807, 0.693) and Br at (0.205, 0.180, 0.692).

The size of the total moment is 1.012 μB per atom. As for the uncorrected formation energy: -1.201 eV/atom.

---

No. 4
DFT (GGA-PBE) results for Al2Cu3Pt4 after structural relaxation.

It has space group C2/m (No. 12), with a = 7.766 Å, b = 4.055 Å, c = 8.070 Å, α = 90.00°, β = 96.94° and γ = 90.00°. The asymmetric unit holds Al at (0.167, 0.000, 0.218), Cu at (0.000, 0.500, 0.000), Cu at (0.162, 0.000, 0.536), Pt at (0.003, 0.500, 0.326) and Pt at (0.170, 0.000, 0.887).

Its formation energy from the elements is -0.591 eV/atom. The size of the total moment is 0.000 μB per atom.